Here is a relaxed structure of Pm3Y2Pd2 from Alexandria. Energies are from GGA-PBE.

As for the formation energy: -0.473 eV/atom. For the density of states at the Fermi level, the calculation gives 1.39 states/eV per atom.

Cell lengths 12.4019, 3.8339, 9.1199 Å; angles 90.00, 114.75, 90.00 degrees
Space group C2/m (No. 12)
Asymmetric unit:
Pm  0.0000  0.0000  0.0000 (multiplicity 2)
Pm  0.1147  0.0000  0.4402 (multiplicity 4)
Y  0.1589  0.5000  0.8111 (multiplicity 4)
Pd  0.1696  0.5000  0.2261 (multiplicity 4)

***

Here is a relaxed structure of Pm2YPd2 from Alexandria. Energies are from GGA-PBE.

The calculation puts the distance to the lowest polymorph of the same formula at 0 meV/atom. As for the formation energy: -0.675 eV/atom. For the density of states at the Fermi level, the calculation gives 0.88 states/eV per atom.

Cell lengths 7.9425, 7.9425, 4.0229 Å; angles 90.00, 90.00, 90.00 degrees
Space group P4/mbm (No. 127)
Asymmetric unit:
Pm  0.1678  0.3322  0.0000 (multiplicity 4)
Y  0.0000  0.0000  0.5000 (multiplicity 2)
Pd  0.1295  0.6295  0.5000 (multiplicity 4)

***

Here is a relaxed structure of PmYPd6 from Alexandria. Energies are from GGA-PBE.

As for the formation energy: -0.814 eV/atom. For the density of states at the Fermi level, the calculation gives 0.69 states/eV per atom.

Cell lengths 4.1632, 4.1632, 8.3104 Å; angles 90.00, 90.00, 90.00 degrees
Space group P4/mmm (No. 123)
Asymmetric unit:
Pm  0.0000  0.0000  0.0000 (multiplicity 1)
Y  0.0000  0.0000  0.5000 (multiplicity 1)
Pd  0.0000  0.5000  0.2537 (multiplicity 4)
Pd  0.5000  0.5000  0.0000 (multiplicity 1)
Pd  0.5000  0.5000  0.5000 (multiplicity 1)

***

Here is a relaxed structure of PmYZnPd from Alexandria. Energies are from GGA-PBE.

The calculation puts the distance to the lowest polymorph of the same formula at 26 meV/atom. As for the formation energy: -0.559 eV/atom. For the density of states at the Fermi level, the calculation gives 0.68 states/eV per atom.

Cell lengths 7.1833, 7.1833, 7.1833 Å; angles 90.00, 90.00, 90.00 degrees
Space group F-43m (No. 216)
Asymmetric unit:
Pm  0.0000  0.0000  0.0000 (multiplicity 4)
Y  0.0000  0.0000  0.5000 (multiplicity 4)
Zn  0.2500  0.2500  0.7500 (multiplicity 4)
Pd  0.2500  0.2500  0.2500 (multiplicity 4)

***

Here is a relaxed structure of PmYZnPd from Alexandria. Energies are from GGA-PBE.

The calculation puts the distance to the lowest polymorph of the same formula at 0 meV/atom. As for the formation energy: -0.585 eV/atom. For the density of states at the Fermi level, the calculation gives 0.86 states/eV per atom.

Cell lengths 3.6081, 3.6081, 7.1015 Å; angles 90.00, 90.00, 90.00 degrees
Space group P4mm (No. 99)
Asymmetric unit:
Pm  0.0000  0.0000  0.0000 (multiplicity 1)
Y  0.0000  0.0000  0.4905 (multiplicity 1)
Zn  0.5000  0.5000  0.7344 (multiplicity 1)
Pd  0.5000  0.5000  0.2586 (multiplicity 1)

***

Here is a relaxed structure of YbPmPd2 from Alexandria. Energies are from GGA-PBE.

As for the formation energy: -0.806 eV/atom. For the density of states at the Fermi level, the calculation gives 4.06 states/eV per atom.

Cell lengths 7.0989, 7.0989, 7.0989 Å; angles 90.00, 90.00, 90.00 degrees
Space group Fm-3m (No. 225)
Asymmetric unit:
Yb  0.0000  0.0000  0.0000 (multiplicity 4)
Pm  0.0000  0.0000  0.5000 (multiplicity 4)
Pd  0.2500  0.2500  0.2500 (multiplicity 8)

***

Here is a relaxed structure of PmZn3Pd from Alexandria. Energies are from GGA-PBE.

The calculation puts the distance to the lowest polymorph of the same formula at 0 meV/atom. As for the formation energy: -0.479 eV/atom. For the density of states at the Fermi level, the calculation gives 0.31 states/eV per atom.

Cell lengths 5.5182, 5.5023, 6.0840 Å; angles 90.00, 92.24, 90.00 degrees
Space group P2_1/m (No. 11)
Asymmetric unit:
Pm  0.1592  0.2500  0.1766 (multiplicity 2)
Zn  0.3331  0.0100  0.6692 (multiplicity 4)
Zn  0.3671  0.7500  0.0462 (multiplicity 2)
Pd  0.0833  0.7500  0.3728 (multiplicity 2)

***

Here is a relaxed structure of Pm4Zn3Pd5 from Alexandria. Energies are from GGA-PBE.

As for the formation energy: -0.527 eV/atom. For the density of states at the Fermi level, the calculation gives 0.56 states/eV per atom.

Cell lengths 13.2854, 4.6361, 10.9896 Å; angles 90.00, 126.88, 90.00 degrees
Space group C2/m (No. 12)
Asymmetric unit:
Pm  0.0201  0.0000  0.2678 (multiplicity 4)
Pm  0.2362  0.0000  0.7124 (multiplicity 4)
Zn  0.0000  0.5000  0.0000 (multiplicity 2)
Zn  0.2480  0.5000  0.9346 (multiplicity 4)
Pd  0.0000  0.0000  0.0000 (multiplicity 2)
Pd  0.0716  0.5000  0.6505 (multiplicity 4)
Pd  0.1878  0.5000  0.4964 (multiplicity 4)

***

Here is a relaxed structure of Pm4Zn3Pd from Alexandria. Energies are from GGA-PBE.

The calculation puts the distance to the lowest polymorph of the same formula at 32 meV/atom. As for the formation energy: -0.405 eV/atom. For the density of states at the Fermi level, the calculation gives 1.06 states/eV per atom.

Cell lengths 3.7929, 4.6043, 11.3923 Å; angles 90.00, 90.00, 90.00 degrees
Space group Pmm2 (No. 25)
Asymmetric unit:
Pm  0.0000  0.0000  0.0000 (multiplicity 1)
Pm  0.0000  0.5000  0.2814 (multiplicity 1)
Pm  0.5000  0.0000  0.4859 (multiplicity 1)
Pm  0.5000  0.5000  0.7899 (multiplicity 1)
Zn  0.0000  0.0000  0.7071 (multiplicity 1)
Zn  0.0000  0.5000  0.5675 (multiplicity 1)
Zn  0.5000  0.5000  0.0675 (multiplicity 1)
Pd  0.5000  0.0000  0.2102 (multiplicity 1)

***

Here is a relaxed structure of PmZnPd4 from Alexandria. Energies are from GGA-PBE.

The calculation puts the distance to the lowest polymorph of the same formula at 10 meV/atom. As for the formation energy: -0.589 eV/atom. For the density of states at the Fermi level, the calculation gives 0.83 states/eV per atom.

Cell lengths 7.5763, 7.5763, 7.5763 Å; angles 90.00, 90.00, 90.00 degrees
Space group F-43m (No. 216)
Asymmetric unit:
Pm  0.0000  0.0000  0.0000 (multiplicity 4)
Zn  0.2500  0.2500  0.2500 (multiplicity 4)
Pd  0.1244  0.1244  0.6244 (multiplicity 16)

***

Here is a relaxed structure of Pm2Zn2Pd15 from Alexandria. Energies are from GGA-PBE.

As for the formation energy: -0.383 eV/atom. For the density of states at the Fermi level, the calculation gives 0.94 states/eV per atom.

Cell lengths 9.1061, 9.1061, 13.7580 Å; angles 90.00, 90.00, 120.00 degrees
Space group R-3m (No. 166, hexagonal axes)
Asymmetric unit:
Pm  0.0000  0.0000  0.1569 (multiplicity 6)
Zn  0.0000  0.0000  0.4053 (multiplicity 6)
Pd  0.0000  0.3037  0.5000 (multiplicity 18)
Pd  0.0000  0.5000  0.0000 (multiplicity 9)
Pd  0.0009  0.5004  0.6538 (multiplicity 18)

***

Here is a relaxed structure of Pm3ZnPd12 from Alexandria. Energies are from GGA-PBE.

As for the formation energy: -0.659 eV/atom. For the density of states at the Fermi level, the calculation gives 0.93 states/eV per atom.

Cell lengths 4.1609, 4.1609, 16.1643 Å; angles 90.00, 90.00, 90.00 degrees
Space group P4/mmm (No. 123)
Asymmetric unit:
Pm  0.0000  0.0000  0.0000 (multiplicity 1)
Pm  0.0000  0.0000  0.2611 (multiplicity 2)
Zn  0.0000  0.0000  0.5000 (multiplicity 1)
Pd  0.0000  0.5000  0.1298 (multiplicity 4)
Pd  0.0000  0.5000  0.3904 (multiplicity 4)
Pd  0.5000  0.5000  0.0000 (multiplicity 1)
Pd  0.5000  0.5000  0.2593 (multiplicity 2)
Pd  0.5000  0.5000  0.5000 (multiplicity 1)